VASP calculation (PBE) on an optimized crystal structure of CdTe2Pd.

Values from the calculation:
Uncorrected formation energy ... -0.214 eV/atom
Space group ... R3m (160)
Density of states at the Fermi level ... 2.03 states/eV/cell

abc: 7.4828 7.4828 7.4828
angles: 31.78 31.78 31.78
Fractional positions:
Cd 0.0000 0.0000 0.0000
Te 0.5676 0.5676 0.5676
Te 0.7652 0.7652 0.7652
Pd 0.1667 0.1667 0.1667

---

VASP calculation (PBE) on an optimized crystal structure of Cd2TePd8.

Values from the calculation:
Uncorrected formation energy ... -0.255 eV/atom
Space group ... C2/m (12)
Density of states at the Fermi level ... 3.69 states/eV/cell

abc: 7.9398 7.9398 5.8541
angles: 111.55 111.55 34.22
Fractional positions:
Cd 0.1804 0.1804 0.1803
Cd 0.8196 0.8196 0.8197
Te 0.5000 0.5000 0.5000
Pd 0.9999 0.9999 0.2463
Pd 0.0001 0.0001 0.7537
Pd 0.1794 0.1794 0.6794
Pd 0.3522 0.3522 0.0940
Pd 0.3520 0.3520 0.6101
Pd 0.6480 0.6480 0.3899
Pd 0.6478 0.6478 0.9060
Pd 0.8206 0.8206 0.3206

---

VASP calculation (PBE) on an optimized crystal structure of Cd3TePd12.

Values from the calculation:
Uncorrected formation energy ... -0.239 eV/atom
Space group ... P4/mmm (123)
Density of states at the Fermi level ... 17.07 states/eV/cell

abc: 4.0341 4.0341 16.2302
angles: 90.00 90.00 90.00
Fractional positions:
Cd 0.0000 0.0000 0.0000
Cd 0.0000 0.0000 0.2476
Cd 0.0000 0.0000 0.7524
Te 0.0000 0.0000 0.5000
Pd 0.0000 0.5000 0.1240
Pd 0.0000 0.5000 0.3748
Pd 0.0000 0.5000 0.6252
Pd 0.0000 0.5000 0.8760
Pd 0.5000 0.0000 0.1240
Pd 0.5000 0.0000 0.3748
Pd 0.5000 0.0000 0.6252
Pd 0.5000 0.0000 0.8760
Pd 0.5000 0.5000 0.0000
Pd 0.5000 0.5000 0.2498
Pd 0.5000 0.5000 0.5000
Pd 0.5000 0.5000 0.7502

---

VASP calculation (PBE) on an optimized crystal structure of CdTe2Pd9.

Values from the calculation:
Uncorrected formation energy ... -0.227 eV/atom
Space group ... P4/mmm (123)
Density of states at the Fermi level ... 7.90 states/eV/cell

abc: 4.0837 4.0837 12.0867
angles: 90.00 90.00 90.00
Fractional positions:
Cd 0.0000 0.0000 0.0000
Te 0.0000 0.0000 0.3234
Te 0.0000 0.0000 0.6766
Pd 0.0000 0.5000 0.1674
Pd 0.0000 0.5000 0.5000
Pd 0.0000 0.5000 0.8326
Pd 0.5000 0.0000 0.1674
Pd 0.5000 0.0000 0.5000
Pd 0.5000 0.0000 0.8326
Pd 0.5000 0.5000 0.0000
Pd 0.5000 0.5000 0.3387
Pd 0.5000 0.5000 0.6613

---

VASP calculation (PBE) on an optimized crystal structure of Cd2Te2Pd.

Values from the calculation:
Uncorrected formation energy ... -0.097 eV/atom
Space group ... P4/mbm (127)
Density of states at the Fermi level ... 2.89 states/eV/cell

abc: 7.7472 7.7472 4.3921
angles: 90.00 90.00 90.00
Fractional positions:
Cd 0.1302 0.3698 0.0000
Cd 0.3698 0.8698 0.0000
Cd 0.6302 0.1302 0.0000
Cd 0.8698 0.6302 0.0000
Te 0.1968 0.6968 0.5000
Te 0.3032 0.1968 0.5000
Te 0.6968 0.8032 0.5000
Te 0.8032 0.3032 0.5000
Pd 0.0000 0.0000 0.5000
Pd 0.5000 0.5000 0.5000

---

VASP calculation (PBE) on an optimized crystal structure of Cd2TePd2.

Values from the calculation:
Uncorrected formation energy ... -0.102 eV/atom
Space group ... I4/mmm (139)
Energy above the most stable polymorph in this dataset ... 166.2 meV per atom
Density of states at the Fermi level ... 3.26 states/eV/cell

abc: 7.3722 7.3722 7.3722
angles: 149.37 149.37 43.86
Fractional positions:
Cd 0.2500 0.7500 0.5000
Cd 0.7500 0.2500 0.5000
Te 0.0000 0.0000 0.0000
Pd 0.4024 0.4024 0.0000
Pd 0.5976 0.5976 0.0000